# 1
Computed, not measured: an optimized crystal structure of Pr4BPCl2 at the PBE level of DFT.

a = 4.085 Å, b = 7.100 Å, c = 7.492 Å
α = 108.28°, β = 90.00°, γ = 90.00°
Sites, in units of the cell vectors:
B (0.000, 0.000, 0.000)
Pr (0.500, 0.781, 0.794)
Pr (0.000, 0.248, 0.789)
Pr (0.000, 0.752, 0.211)
Pr (0.500, 0.219, 0.206)
Cl (0.000, 0.500, 0.500)
Cl (0.500, 0.000, 0.500)
P (0.500, 0.500, 0.000)

## Properties
* formation energy without anion corrections: -1.25 eV per atom
* theoretical density: 5.44 g/cm³
* V: 25.79 Å³ per atom

---

# 2
Computed, not measured: an optimized crystal structure of Rb13Cd2 at the PBE level of DFT.

a = 9.349 Å, b = 11.058 Å, c = 12.609 Å
α = 114.87°, β = 89.18°, γ = 102.17°
Sites, in units of the cell vectors:
Rb (0.000, 0.000, 0.000)
Rb (0.771, 0.580, 0.984)
Rb (0.169, 0.976, 0.651)
Rb (0.048, 0.452, 0.647)
Rb (0.229, 0.420, 0.016)
Rb (0.552, 0.226, 0.137)
Rb (0.514, 0.345, 0.570)
Rb (0.448, 0.774, 0.863)
Rb (0.831, 0.024, 0.349)
Rb (0.287, 0.912, 0.260)
Rb (0.486, 0.655, 0.430)
Rb (0.713, 0.088, 0.740)
Rb (0.952, 0.548, 0.353)
Cd (0.201, 0.283, 0.316)
Cd (0.799, 0.717, 0.684)

## Properties
* uncorrected energy: -14.291 eV for the cell shown
* theoretical density: 1.93 g/cm³
* V: 76.80 Å³ per atom

---

# 3
Computed, not measured: an optimized crystal structure of Ag2Pb2O5 at the PBE level of DFT.

a = 5.973 Å, b = 6.026 Å, c = 8.832 Å
α = 109.95°, β = 109.76°, γ = 90.00°
Sites, in units of the cell vectors:
O (0.823, 0.304, 0.100)
O (0.502, 0.283, 0.729)
O (0.273, 0.054, 0.271)
O (0.177, 0.204, 0.900)
O (0.498, 0.554, 0.271)
O (0.223, 0.704, 0.900)
O (0.777, 0.804, 0.100)
O (0.727, 0.783, 0.729)
O (0.879, 0.137, 0.500)
O (0.121, 0.637, 0.500)
Ag (0.887, 0.426, 0.779)
Ag (0.607, 0.147, 0.221)
Ag (0.393, 0.926, 0.779)
Ag (0.113, 0.647, 0.221)
Pb (0.212, 0.287, 0.500)
Pb (0.788, 0.787, 0.500)
Pb (0.500, 0.493, 0.000)
Pb (0.000, 0.993, 0.000)

## Properties
* formation energy without anion corrections: -0.49 eV per atom
* theoretical density: 8.46 g/cm³
* V: 15.49 Å³ per atom

---

# 4
Computed, not measured: an optimized crystal structure of RbTl4Sb at the PBE level of DFT.

a = 6.633 Å, b = 6.633 Å, c = 6.633 Å
α = 60.00°, β = 60.00°, γ = 60.00°
Sites, in units of the cell vectors:
Tl (0.626, 0.626, 0.121)
Tl (0.626, 0.626, 0.626)
Tl (0.626, 0.121, 0.626)
Tl (0.121, 0.626, 0.626)
Rb (0.250, 0.250, 0.250)
Sb (0.000, 0.000, 0.000)

## Properties
* formation energy without anion corrections: 0.00 eV per atom
* theoretical density: 8.25 g/cm³
* V: 34.39 Å³ per atom